Material: Cr3HRu
Method: DFT, PBE
State: optimized geometry

## Properties
DOS(E_F): 5.60 states/eV/f.u.
offset from the most stable computed form: 0 meV per atom
ρ: 8358 kg/m³
space group: Pm-3m

Cell lengths 3.715, 3.715, 3.715 Å; angles 90.00, 90.00, 90.00 degrees
Atoms (fractional coordinates):
H 0.000 0.000 0.000
Cr 0.500 0.000 0.000
Cr 0.000 0.500 0.000
Cr 0.000 0.000 0.500
Ru 0.500 0.500 0.500